[1]
Material: Li3TmSc2S6
Method: DFT, GGA-PBE
State: optimized geometry

As for the uncorrected formation energy: -1.799 eV per atom. Its crystal system is monoclinic. Its mass density is 3.5 g cm⁻³.

Structure (CIF):
```
data_Li3TmSc2S6
_chemical_formula_sum 'Li6 Tm2 Sc4 S12'
_cell_length_a 6.4966
_cell_length_b 11.2566
_cell_length_c 6.4843
_cell_angle_alpha 90.00
_cell_angle_beta 109.50
_cell_angle_gamma 90.00
_symmetry_space_group_name_H-M 'C 1 2/m 1'
_symmetry_Int_Tables_number 12
_symmetry_space_group_name_Hall '-C 2y'
loop_
_atom_site_label
_atom_site_fract_x
_atom_site_fract_y
_atom_site_fract_z
Li1 0.0000 0.0000 0.0000
Li2 0.0000 0.3323 0.0000
Tm1 0.0000 0.5000 0.5000
Sc1 0.0000 0.1667 0.5000
S1 0.2383 0.0000 0.7440
S2 0.2477 0.1714 0.2575
```

[2]
Material: Li3TmSc4S8
Method: DFT, GGA-PBE
State: optimized geometry

As for the uncorrected formation energy: -1.833 eV per atom. Its crystal system is trigonal. Its mass density is 3.6 g cm⁻³.

Structure (CIF):
```
data_Li3TmSc4S8
_chemical_formula_sum 'Li9 Tm3 Sc12 S24'
_cell_length_a 7.3979
_cell_length_b 7.3979
_cell_length_c 18.4291
_cell_angle_alpha 90.00
_cell_angle_beta 90.00
_cell_angle_gamma 120.00
_symmetry_space_group_name_H-M 'R -3 m'
_symmetry_Int_Tables_number 166
_symmetry_space_group_name_Hall '-R 3 2"'
loop_
_atom_site_label
_atom_site_fract_x
_atom_site_fract_y
_atom_site_fract_z
Li1 0.0000 0.5000 0.0000
Tm1 0.0000 0.0000 0.0000
Sc1 0.0000 0.0000 0.5000
Sc2 0.0000 0.5000 0.5000
S1 0.0000 0.0000 0.2469
S2 0.0038 0.5019 0.2483
```

[3]
Material: LiTm2Sc3S6
Method: DFT, GGA-PBE
State: optimized geometry

As for the uncorrected formation energy: -1.887 eV per atom. Its crystal system is monoclinic. Its mass density is 5.0 g cm⁻³.

Structure (CIF):
```
data_LiTm2Sc3S6
_chemical_formula_sum 'Li2 Tm4 Sc6 S12'
_cell_length_a 6.4669
_cell_length_b 11.2151
_cell_length_c 6.5210
_cell_angle_alpha 90.00
_cell_angle_beta 109.43
_cell_angle_gamma 90.00
_symmetry_space_group_name_H-M 'C 1 2/m 1'
_symmetry_Int_Tables_number 12
_symmetry_space_group_name_Hall '-C 2y'
loop_
_atom_site_label
_atom_site_fract_x
_atom_site_fract_y
_atom_site_fract_z
Li1 0.0000 0.0000 0.0000
Tm1 0.0000 0.3343 0.0000
Sc1 0.0000 0.1643 0.5000
Sc2 0.0000 0.5000 0.5000
S1 0.2405 0.0000 0.7474
S2 0.2489 0.1634 0.2569
```

[4]
Material: Li2Sc2US6
Method: DFT, GGA-PBE
State: optimized geometry

As for the uncorrected formation energy: -1.626 eV per atom. Its crystal system is monoclinic. Its mass density is 3.9 g cm⁻³.

Structure (CIF):
```
data_Li2Sc2US6
_chemical_formula_sum 'Li4 Sc4 U2 S12'
_cell_length_a 6.5376
_cell_length_b 11.3632
_cell_length_c 6.5141
_cell_angle_alpha 90.00
_cell_angle_beta 109.68
_cell_angle_gamma 90.00
_symmetry_space_group_name_H-M 'C 1 2/m 1'
_symmetry_Int_Tables_number 12
_symmetry_space_group_name_Hall '-C 2y'
loop_
_atom_site_label
_atom_site_fract_x
_atom_site_fract_y
_atom_site_fract_z
Li1 0.0000 0.1704 0.0000
Sc1 0.0000 0.3343 0.5000
U1 0.0000 0.0000 0.5000
S1 0.2422 0.5000 0.7387
S2 0.2464 0.1728 0.7382
```

[5]
Material: LiScU2S6
Method: DFT, GGA-PBE
State: optimized geometry

As for the uncorrected formation energy: -1.448 eV per atom. Its crystal system is trigonal. Its mass density is 5.1 g cm⁻³.

Structure (CIF):
```
data_LiScU2S6
_chemical_formula_sum 'Li3 Sc3 U6 S18'
_cell_length_a 6.6851
_cell_length_b 6.6851
_cell_length_c 18.2415
_cell_angle_alpha 90.00
_cell_angle_beta 90.00
_cell_angle_gamma 120.00
_symmetry_space_group_name_H-M 'R 3'
_symmetry_Int_Tables_number 146
_symmetry_space_group_name_Hall 'R 3'
loop_
_atom_site_label
_atom_site_fract_x
_atom_site_fract_y
_atom_site_fract_z
Li1 0.0000 0.0000 0.0000
Sc1 0.0000 0.0000 0.5108
U1 0.0000 0.0000 0.1975
U2 0.0000 0.0000 0.7032
S1 0.0112 0.3660 0.7720
S2 0.0349 0.6723 0.2704
```

[6]
Material: Li3Sc4US8
Method: DFT, GGA-PBE
State: optimized geometry

As for the uncorrected formation energy: -1.715 eV per atom. Its crystal system is trigonal. Its mass density is 3.9 g cm⁻³.

Structure (CIF):
```
data_Li3Sc4US8
_chemical_formula_sum 'Li9 Sc12 U3 S24'
_cell_length_a 7.4260
_cell_length_b 7.4260
_cell_length_c 18.4498
_cell_angle_alpha 90.00
_cell_angle_beta 90.00
_cell_angle_gamma 120.00
_symmetry_space_group_name_H-M 'R -3 m'
_symmetry_Int_Tables_number 166
_symmetry_space_group_name_Hall '-R 3 2"'
loop_
_atom_site_label
_atom_site_fract_x
_atom_site_fract_y
_atom_site_fract_z
Li1 0.0000 0.5000 0.0000
Sc1 0.0000 0.0000 0.5000
Sc2 0.0000 0.5000 0.5000
U1 0.0000 0.0000 0.0000
S1 0.0000 0.0000 0.2469
S2 0.0060 0.5030 0.2479
```

[7]
Material: Li4ScU3S8
Method: DFT, GGA-PBE
State: optimized geometry

As for the uncorrected formation energy: -1.453 eV per atom. Its crystal system is trigonal. Its mass density is 5.5 g cm⁻³.

Structure (CIF):
```
data_Li4ScU3S8
_chemical_formula_sum 'Li12 Sc3 U9 S24'
_cell_length_a 7.6171
_cell_length_b 7.6171
_cell_length_c 18.7966
_cell_angle_alpha 90.00
_cell_angle_beta 90.00
_cell_angle_gamma 120.00
_symmetry_space_group_name_H-M 'R -3 m'
_symmetry_Int_Tables_number 166
_symmetry_space_group_name_Hall '-R 3 2"'
loop_
_atom_site_label
_atom_site_fract_x
_atom_site_fract_y
_atom_site_fract_z
Li1 0.0000 0.0000 0.0000
Li2 0.0000 0.5000 0.0000
Sc1 0.0000 0.0000 0.5000
U1 0.0000 0.5000 0.5000
S1 0.0000 0.0000 0.2541
S2 0.0104 0.5052 0.2505
```

[8]
Material: Li2ScUS4
Method: DFT, GGA-PBE
State: optimized geometry

As for the uncorrected formation energy: -1.548 eV per atom. Its crystal system is monoclinic. Its mass density is 4.6 g cm⁻³.

Structure (CIF):
```
data_Li2ScUS4
_chemical_formula_sum 'Li2 Sc1 U1 S4'
_cell_length_a 6.5482
_cell_length_b 3.7826
_cell_length_c 6.5650
_cell_angle_alpha 90.00
_cell_angle_beta 109.34
_cell_angle_gamma 90.00
_symmetry_space_group_name_H-M 'P 1 2/m 1'
_symmetry_Int_Tables_number 10
_symmetry_space_group_name_Hall '-P 2y'
loop_
_atom_site_label
_atom_site_fract_x
_atom_site_fract_y
_atom_site_fract_z
Li1 0.0000 0.0000 0.0000
Li2 0.5000 0.5000 0.0000
Sc1 0.0000 0.5000 0.5000
U1 0.5000 0.0000 0.5000
S1 0.2380 0.5000 0.2461
S2 0.2391 0.0000 0.7448
```